An optimized crystal structure of CsGaHg3. Source: Alexandria, functional PBEsol.

* SG: Pm-3m (221)
* energy relative to the elements: -119 meV/atom
* total DFT energy (no corrections): -1.315 eV per atom

```
CsGaHg3
1.0
5.362 0.000 0.000
0.000 5.362 0.000
0.000 0.000 5.362
Cs Ga Hg
1 1 3
Direct
0.000 0.000 0.000
0.500 0.500 0.500
0.000 0.500 0.500
0.500 0.000 0.500
0.500 0.500 0.000
```